No. 1
Material: Er2Si2PdRh5
Method: DFT, PBE-GGA
State: relaxed

Summary:
The calculation puts the formation energy without anion corrections at -0.856 eV/atom. As for the symmetry: P4/mbm (127). For the size of the total moment, the calculation gives 0.000 μB/atom.

Cell lengths 3.4874, 9.6642, 9.6642 Å; angles 90.00, 90.00, 90.00 degrees
Last column: nearest neighbours and their distance in Å.
Positions (direct):
1 Er 0.0000 0.6746 0.1746  3 Si 2.73-2.94, 6 Rh 2.96-3.05
2 Er 0.0000 0.3254 0.8254  3 Si 2.73-2.94, 6 Rh 2.96-3.05
3 Er 0.0000 0.1746 0.3254  3 Si 2.73-2.94, 6 Rh 2.96-3.05
4 Er 0.0000 0.8254 0.6746  3 Si 2.73-2.94, 6 Rh 2.96-3.05
5 Si 0.0000 0.1256 0.6256  6 Rh 2.40-2.45
6 Si 0.0000 0.8744 0.3744  6 Rh 2.40-2.45
7 Si 0.0000 0.6256 0.8744  6 Rh 2.40-2.45
8 Si 0.0000 0.3744 0.1256  6 Rh 2.40-2.45
9 Pd 0.0000 0.0000 0.0000  8 Rh 2.79
10 Pd 0.0000 0.5000 0.5000  8 Rh 2.79
11 Rh 0.5000 0.2140 0.0690  2 Si 2.40
12 Rh 0.5000 0.7860 0.9310  2 Si 2.40
13 Rh 0.5000 0.0690 0.7860  2 Si 2.40
14 Rh 0.5000 0.7140 0.4310  2 Si 2.40
15 Rh 0.5000 0.9310 0.2140  2 Si 2.40
16 Rh 0.5000 0.2860 0.5690  2 Si 2.40
17 Rh 0.5000 0.5690 0.7140  2 Si 2.40
18 Rh 0.5000 0.4310 0.2860  2 Si 2.40
19 Rh 0.5000 0.5000 0.0000  4 Si 2.45
20 Rh 0.5000 0.0000 0.5000  4 Si 2.45

---

No. 2
Material: CaCe2Tl4
Method: DFT, PBE-GGA
State: relaxed

Summary:
As for the symmetry: R-3m (166). Its formation energy from the elements is -0.16 eV/atom. For the size of the total moment, the calculation gives 0.303 μB/atom.

Cell lengths 5.3921, 5.3921, 9.3919 Å; angles 73.32, 73.32, 60.00 degrees
Last column: nearest neighbours and their distance in Å.
Positions (direct):
1 Ca 0.0000 0.0000 0.0000  8 Tl 3.36-3.39
2 Tl 0.8723 0.8723 0.3830  4 Ce 3.20-3.31, 1 Ca 3.39
3 Tl 0.1277 0.1277 0.6170  4 Ce 3.20-3.31, 1 Ca 3.39
4 Tl 0.6191 0.6191 0.1428  4 Ce 3.27-3.53, 3 Ca 3.36
5 Tl 0.3809 0.3809 0.8572  4 Ce 3.27-3.53, 3 Ca 3.36
6 Ce 0.7519 0.7519 0.7444  8 Tl 3.20-3.53
7 Ce 0.2481 0.2481 0.2556  8 Tl 3.20-3.53

---

No. 3
Material: RbDyI2
Method: DFT, PBE-GGA
State: relaxed

Summary:
The calculation puts the formation energy without anion corrections at -0.849 eV/atom. As for the symmetry: R-3m (166). For the size of the total moment, the calculation gives 0.000 μB/atom.

Cell lengths 4.2079, 4.2079, 12.0516 Å; angles 79.95, 79.95, 60.00 degrees
Last column: nearest neighbours and their distance in Å.
Positions (direct):
1 I 0.1116 0.1116 0.6653  3 Dy 3.12
2 I 0.8884 0.8884 0.3347  3 Dy 3.12
3 Rb 0.0000 0.0000 0.0000  2 I 3.95, 6 Rb 4.21
4 Dy 0.5000 0.5000 0.5000  6 I 3.12

---

No. 4
Material: ErVB4
Method: DFT, PBE-GGA
State: relaxed

Summary:
As for the symmetry: Pbam (55). Its formation energy from the elements is -0.73 eV/atom. For the size of the total moment, the calculation gives 0.000 μB/atom.

Cell lengths 3.4222, 5.9809, 11.5756 Å; angles 90.00, 90.00, 90.00 degrees
Last column: nearest neighbours and their distance in Å.
Positions (direct):
1 Er 0.5000 0.1242 0.8484  14 B 2.61-2.76
2 Er 0.5000 0.8758 0.1516  14 B 2.61-2.76
3 Er 0.5000 0.6242 0.6516  14 B 2.61-2.76
4 Er 0.5000 0.3758 0.3484  14 B 2.61-2.76
5 V 0.5000 0.1277 0.5831  10 B 2.28-2.31, 1 V 2.46
6 V 0.5000 0.8723 0.4169  10 B 2.28-2.31, 1 V 2.46
7 V 0.5000 0.6277 0.9169  10 B 2.28-2.31, 1 V 2.46
8 V 0.5000 0.3723 0.0831  10 B 2.28-2.31, 1 V 2.46
9 B 0.0000 0.2871 0.6859  3 B 1.81-1.85
10 B 0.0000 0.7129 0.3141  3 B 1.81-1.85
11 B 0.0000 0.7871 0.8141  3 B 1.81-1.85
12 B 0.0000 0.2129 0.1859  3 B 1.81-1.85
13 B 0.0000 0.3652 0.5325  3 B 1.76-1.84
14 B 0.0000 0.6348 0.4675  3 B 1.76-1.84
15 B 0.0000 0.8652 0.9675  3 B 1.76-1.84
16 B 0.0000 0.1348 0.0325  3 B 1.76-1.84
17 B 0.0000 0.0227 0.3072  3 B 1.77-1.85
18 B 0.0000 0.9773 0.6928  3 B 1.77-1.85
19 B 0.0000 0.5227 0.1928  3 B 1.77-1.85
20 B 0.0000 0.4773 0.8072  3 B 1.77-1.85
21 B 0.0000 0.1152 0.4522  3 B 1.76-1.77
22 B 0.0000 0.8848 0.5478  3 B 1.76-1.77
23 B 0.0000 0.6152 0.0478  3 B 1.76-1.77
24 B 0.0000 0.3848 0.9522  3 B 1.76-1.77

---

No. 5
Material: MgSc4Al2Cu
Method: DFT, PBE-GGA
State: relaxed

Summary:
As for the symmetry: R-3m (166). Its formation energy from the elements is -0.32 eV/atom. For the size of the total moment, the calculation gives 0.000 μB/atom.

Cell lengths 4.8192, 4.8192, 8.3433 Å; angles 73.21, 73.21, 60.00 degrees
Last column: nearest neighbours and their distance in Å.
Positions (direct):
1 Mg 0.0000 0.0000 0.0000  8 Sc 3.01-3.08, 6 Al 3.34
2 Sc 0.3820 0.3820 0.8539  1 Cu 2.78, 4 Al 2.87-3.00, 3 Mg 3.01
3 Sc 0.8695 0.8695 0.3914  3 Cu 2.91, 4 Al 2.94-3.04, 1 Mg 3.08
4 Sc 0.1305 0.1305 0.6086  3 Cu 2.91, 4 Al 2.94-3.04, 1 Mg 3.08
5 Sc 0.6180 0.6180 0.1461  1 Cu 2.78, 4 Al 2.87-3.00, 3 Mg 3.01
6 Al 0.7451 0.7451 0.7648  8 Sc 2.87-3.04
7 Al 0.2549 0.2549 0.2352  8 Sc 2.87-3.04
8 Cu 0.5000 0.5000 0.5000  8 Sc 2.78-2.91

---

No. 6
Material: SrBeIN2
Method: DFT, PBE-GGA
State: relaxed

Summary:
The calculation puts the formation energy without anion corrections at 1.617 eV/atom. As for the symmetry: P4/mmm (123). For the size of the total moment, the calculation gives 0.850 μB/atom.

Cell lengths 4.9268, 4.9268, 6.7728 Å; angles 90.00, 90.00, 90.00 degrees
Last column: nearest neighbours and their distance in Å.
Positions (direct):
1 I 0.0000 0.0000 0.5000  2 Sr 3.39, 4 Be 3.48
2 Sr 0.0000 0.0000 0.0000  4 N 2.46
3 Be 0.5000 0.5000 0.5000  4 I 3.48
4 N 0.0000 0.5000 0.0000  2 Sr 2.46
5 N 0.5000 0.0000 0.0000  2 Sr 2.46

---

No. 7
Material: CaZrAs2
Method: DFT, PBE-GGA
State: relaxed

Summary:
As for the symmetry: R-3m (166). Its formation energy from the elements is -1.18 eV/atom. For the size of the total moment, the calculation gives 0.000 μB/atom.

Cell lengths 3.9696, 3.9696, 7.1965 Å; angles 74.00, 74.00, 60.00 degrees
Last column: nearest neighbours and their distance in Å.
Positions (direct):
1 As 0.9923 0.9923 0.0228  3 Zr 2.77, 3 Ca 2.95
2 As 0.5077 0.5077 0.4772  3 Zr 2.77, 3 Ca 2.95
3 Ca 0.7500 0.7500 0.7500  6 As 2.95
4 Zr 0.2500 0.2500 0.2500  6 As 2.77

---

What are the energy values for these records? In order: -7.05 -3.49 -3.02 -7.46 -5.14 -3.10 -6.14 eV per atom.